Material: La3MgSn
Method: DFT, GGA-PBEsol
State: optimized geometry

Cell and atoms, written as extended XYZ:
```
5
Lattice="-2.9199 -4.7993 -0.6249 4.6757 -2.6088 -1.8114 1.2496 -1.4526 5.3177" Properties=species:S:1:pos:R:3 pbc="T T T"
Mg 0.0000 0.0000 0.0000
Sn 1.5027 -4.4304 1.4407
La 2.3378 -1.3044 -0.9057
La 0.6248 -0.7263 2.6588
La -1.4599 -2.3996 -0.3124
```

## Properties
**VASP energy**: -4.0302 eV per atom
**ΔE_f**: 373 meV per atom
**Total magnetization**: 0.0 μB per formula unit

Material: SrLaMg4
Method: DFT, GGA-PBEsol
State: optimized geometry

Cell and atoms, written as extended XYZ:
```
6
Lattice="-0.4311 1.3105 -6.0925 -3.2308 -3.7751 -3.7858 -5.4407 1.9029 -2.4081" Properties=species:S:1:pos:R:3 pbc="T T T"
Sr -6.8269 -0.4213 -9.2148
Mg -3.4029 -0.2100 -4.5932
Mg -6.1485 0.7503 -5.8084
Mg -3.6205 0.4513 -7.6676
Mg -5.0333 -2.1150 -6.5036
La 0.0000 0.0000 0.0000
```

## Properties
**VASP energy**: -2.4345 eV per atom
**ΔE_f**: -92 meV per atom
**Total magnetization**: 0.0 μB per formula unit

Material: SrLa2Mg
Method: DFT, GGA-PBEsol
State: optimized geometry

Cell and atoms, written as extended XYZ:
```
4
Lattice="5.1123 0.0000 0.0000 0.0000 5.1123 0.0000 -2.5561 -2.5561 5.2654" Properties=species:S:1:pos:R:3 pbc="T T T"
La 0.0000 0.0000 0.0000
La 2.5561 0.0000 2.6327
Mg 2.5561 2.5561 0.0000
Sr 0.0000 2.5561 2.6327
```

## Properties
**VASP energy**: -3.4350 eV per atom
**ΔE_f**: 128 meV per atom
**Total magnetization**: 0.0 μB per formula unit

Material: Sr2LaMg
Method: DFT, GGA-PBEsol
State: optimized geometry

Cell and atoms, written as extended XYZ:
```
4
Lattice="3.9730 0.0000 0.0000 0.0000 3.9730 0.0000 0.0000 0.0000 10.0621" Properties=species:S:1:pos:R:3 pbc="T T T"
Sr 0.0000 0.0000 9.5506
Sr 1.9865 1.9865 2.7068
Mg 1.9865 1.9865 7.3741
La 0.0000 0.0000 5.5238
```

## Properties
**VASP energy**: -2.6601 eV per atom
**ΔE_f**: 26 meV per atom
**Total magnetization**: 0.0 μB per formula unit

no.,density of states at the Fermi level (states/eV/atom)
1,1.5907
2,0.7482
3,1.3573
4,1.1597